(1)
# Nd2ZnIn2Rh5, optimized geometry, DFT PBE
data_Nd2ZnIn2Rh5
_symmetry_space_group_name_H-M 'P 4/m b m'
_symmetry_Int_Tables_number 127
_symmetry_space_group_name_Hall '-P 4 2ab'
_cell_length_a 10.348
_cell_length_b 10.348
_cell_length_c 3.588
_cell_angle_alpha 90.00
_cell_angle_beta 90.00
_cell_angle_gamma 90.00
loop_
_atom_site_label
_atom_site_type_symbol
_atom_site_fract_x
_atom_site_fract_y
_atom_site_fract_z
_atom_site_occupancy
Nd1 Nd 0.168 0.332 0.000 1
Zn1 Zn 0.000 0.000 0.000 1
In1 In 0.132 0.632 0.000 1
Rh1 Rh 0.000 0.500 0.500 1
Rh2 Rh 0.047 0.807 0.500 1
# * M_tot: 0.0 μB/cell
# * DFT formation energy: -0.368 eV per atom
# * total energy: -5.67 eV per atom

(2)
# NdZnInRh, optimized geometry, DFT PBE
data_NdZnInRh
_symmetry_space_group_name_H-M 'F -4 3 m'
_symmetry_Int_Tables_number 216
_symmetry_space_group_name_Hall 'F -4 2 3'
_cell_length_a 6.895
_cell_length_b 6.895
_cell_length_c 6.895
_cell_angle_alpha 90.00
_cell_angle_beta 90.00
_cell_angle_gamma 90.00
loop_
_atom_site_label
_atom_site_type_symbol
_atom_site_fract_x
_atom_site_fract_y
_atom_site_fract_z
_atom_site_occupancy
Nd1 Nd 0.000 0.000 0.000 1
Zn1 Zn 0.250 0.250 0.250 1
In1 In 0.000 0.000 0.500 1
Rh1 Rh 0.250 0.250 0.750 1
# * M_tot: 0.0 μB/cell
# * DFT formation energy: -0.411 eV per atom
# * total energy: -4.44 eV per atom

(3)
# Nd2Zn2InRh5, optimized geometry, DFT PBE
data_Nd2Zn2InRh5
_symmetry_space_group_name_H-M 'P 4/m b m'
_symmetry_Int_Tables_number 127
_symmetry_space_group_name_Hall '-P 4 2ab'
_cell_length_a 9.832
_cell_length_b 9.832
_cell_length_c 3.708
_cell_angle_alpha 90.00
_cell_angle_beta 90.00
_cell_angle_gamma 90.00
loop_
_atom_site_label
_atom_site_type_symbol
_atom_site_fract_x
_atom_site_fract_y
_atom_site_fract_z
_atom_site_occupancy
Nd1 Nd 0.176 0.324 0.000 1
Zn1 Zn 0.122 0.622 0.000 1
In1 In 0.000 0.000 0.000 1
Rh1 Rh 0.000 0.500 0.500 1
Rh2 Rh 0.066 0.792 0.500 1
# * M_tot: 0.0 μB/cell
# * DFT formation energy: -0.553 eV per atom
# * total energy: -5.71 eV per atom

(4)
# Nd12In6Ru, optimized geometry, DFT PBE
data_Nd12In6Ru
_symmetry_space_group_name_H-M 'R -3'
_symmetry_Int_Tables_number 148
_symmetry_space_group_name_Hall '-R 3'
_cell_length_a 12.4947
_cell_length_b 12.4947
_cell_length_c 13.6640
_cell_angle_alpha 90.00
_cell_angle_beta 90.00
_cell_angle_gamma 120.00
loop_
_atom_site_label
_atom_site_type_symbol
_atom_site_fract_x
_atom_site_fract_y
_atom_site_fract_z
_atom_site_occupancy
Nd1 Nd 0.0386 0.8460 0.3912 1
Nd2 Nd 0.0407 0.1897 0.8708 1
In1 In 0.0045 0.6021 0.2634 1
Ru1 Ru 0.0000 0.0000 0.0000 1
# * M_tot: 0.0 μB/cell
# * DFT formation energy: -0.214 eV per atom
# * total energy: -4.58 eV per atom

(5)
# Nd11In9Ru4, optimized geometry, DFT PBE
data_Nd11In9Ru4
_symmetry_space_group_name_H-M 'C m m m'
_symmetry_Int_Tables_number 65
_symmetry_space_group_name_Hall '-C 2 2'
_cell_length_a 14.816
_cell_length_b 22.098
_cell_length_c 3.873
_cell_angle_alpha 90.00
_cell_angle_beta 90.00
_cell_angle_gamma 90.00
loop_
_atom_site_label
_atom_site_type_symbol
_atom_site_fract_x
_atom_site_fract_y
_atom_site_fract_z
_atom_site_occupancy
Nd1 Nd 0.000 0.000 0.000 1
Nd2 Nd 0.000 0.162 0.000 1
Nd3 Nd 0.000 0.374 0.000 1
Nd4 Nd 0.187 0.500 0.000 1
Nd5 Nd 0.249 0.168 0.000 1
In1 In 0.000 0.500 0.500 1
In2 In 0.104 0.264 0.500 1
In3 In 0.149 0.071 0.500 1
Ru1 Ru 0.150 0.399 0.500 1
# * M_tot: 0.0 μB/cell
# * DFT formation energy: -0.435 eV per atom
# * total energy: -5.19 eV per atom

(6)
# Nd3In2Ru, optimized geometry, DFT PBE
data_Nd3In2Ru
_symmetry_space_group_name_H-M 'C 1 2/m 1'
_symmetry_Int_Tables_number 12
_symmetry_space_group_name_Hall '-C 2y'
_cell_length_a 8.026
_cell_length_b 10.838
_cell_length_c 8.188
_cell_angle_alpha 90.00
_cell_angle_beta 99.18
_cell_angle_gamma 90.00
loop_
_atom_site_label
_atom_site_type_symbol
_atom_site_fract_x
_atom_site_fract_y
_atom_site_fract_z
_atom_site_occupancy
Nd1 Nd 0.172 0.000 0.167 1
Nd2 Nd 0.225 0.182 0.771 1
In1 In 0.000 0.000 0.500 1
In2 In 0.000 0.368 0.500 1
In3 In 0.000 0.500 0.000 1
Ru1 Ru 0.000 0.219 0.000 1
# * M_tot: 0.0 μB/cell
# * offset from the most stable computed form: 69.3 meV/atom
# * DFT formation energy: -0.246 eV per atom
# * total energy: -5.09 eV per atom

(7)
# Nd5In2Ru2, optimized geometry, DFT PBE
data_Nd5In2Ru2
_symmetry_space_group_name_H-M 'C m c e'
_symmetry_Int_Tables_number 64
_symmetry_space_group_name_Hall '-C 2ac 2'
_cell_length_a 16.680
_cell_length_b 7.617
_cell_length_c 7.948
_cell_angle_alpha 90.00
_cell_angle_beta 90.00
_cell_angle_gamma 90.00
loop_
_atom_site_label
_atom_site_type_symbol
_atom_site_fract_x
_atom_site_fract_y
_atom_site_fract_z
_atom_site_occupancy
Nd1 Nd 0.000 0.000 0.000 1
Nd2 Nd 0.119 0.176 0.323 1
In1 In 0.221 0.000 0.000 1
Ru1 Ru 0.000 0.119 0.625 1
# * M_tot: 0.0 μB/cell
# * DFT formation energy: -0.276 eV per atom
# * total energy: -5.59 eV per atom

(8)
# NdInRu, optimized geometry, DFT PBE
data_NdInRu
_symmetry_space_group_name_H-M 'P -6 m 2'
_symmetry_Int_Tables_number 187
_symmetry_space_group_name_Hall 'P -6 2'
_cell_length_a 4.6650
_cell_length_b 4.6650
_cell_length_c 3.7692
_cell_angle_alpha 90.00
_cell_angle_beta 90.00
_cell_angle_gamma 120.00
loop_
_atom_site_label
_atom_site_type_symbol
_atom_site_fract_x
_atom_site_fract_y
_atom_site_fract_z
_atom_site_occupancy
Nd1 Nd 0.0000 0.0000 0.0000 1
In1 In 0.3333 0.6667 0.5000 1
Ru1 Ru 0.6667 0.3333 0.5000 1
# * M_tot: 0.0 μB/cell
# * DFT formation energy: -0.121 eV per atom
# * total energy: -5.71 eV per atom

Look up the M_tot of the seventh one.
0.0 μB/cell

Which value of total energy does entry 6 give?
-5.09 eV per atom

Which value of M_tot does entry 4 give?
0.0 μB/cell